(1)
The following is a PBE calculation of a geometry-optimized SrTl3Sn3 structure, from Alexandria.

CIF file:
```
data_SrTl3Sn3
_chemical_formula_sum 'Sr2 Tl6 Sn6'
_space_group_name_H-M_alt 'P 1'
_space_group_IT_number 1
_cell_length_a 8.229
_cell_length_b 8.229
_cell_length_c 8.229
_cell_angle_alpha 90.00
_cell_angle_beta 90.00
_cell_angle_gamma 90.00
loop_
_space_group_symop_operation_xyz
'x,y,z'
loop_
_atom_site_label
_atom_site_fract_x
_atom_site_fract_y
_atom_site_fract_z
Sr1 0.500 0.500 0.500
Sr2 0.000 0.000 0.000
Tl1 0.250 0.000 0.500
Tl2 0.000 0.500 0.250
Tl3 0.500 0.750 0.000
Tl4 0.750 0.000 0.500
Tl5 0.000 0.500 0.750
Tl6 0.500 0.250 0.000
Sn1 0.000 0.250 0.500
Sn2 0.000 0.750 0.500
Sn3 0.500 0.000 0.750
Sn4 0.750 0.500 0.000
Sn5 0.500 0.000 0.250
Sn6 0.250 0.500 0.000
```

## Properties
- E: -0.102 hartree per atom
- Energy of formation: 0.19 eV per atom
- Theoretical density: 6.30 g/cm3
- Total magnetic moment: 0.00 Bohr magnetons per cell

***

(2)
The following is a PBE calculation of a geometry-optimized SrHg2Rh structure, from Alexandria.

CIF file:
```
data_SrHg2Rh
_chemical_formula_sum 'Sr1 Hg2 Rh1'
_space_group_name_H-M_alt 'P 1'
_space_group_IT_number 1
_cell_length_a 5.527
_cell_length_b 5.527
_cell_length_c 5.527
_cell_angle_alpha 132.07
_cell_angle_beta 132.07
_cell_angle_gamma 70.12
loop_
_space_group_symop_operation_xyz
'x,y,z'
loop_
_atom_site_label
_atom_site_fract_x
_atom_site_fract_y
_atom_site_fract_z
Hg1 0.000 0.000 0.000
Hg2 0.500 0.500 0.000
Rh1 0.250 0.750 0.500
Sr1 0.750 0.250 0.500
```

## Properties
- E: -0.094 hartree per atom
- Energy of formation: -0.16 eV per atom
- Theoretical density: 10.78 g/cm3
- Total magnetic moment: 0.00 Bohr magnetons per cell

***

(3)
The following is a PBE calculation of a geometry-optimized Er2PS structure, from Alexandria.

CIF file:
```
data_Er2PS
_chemical_formula_sum 'Er2 P1 S1'
_space_group_name_H-M_alt 'P 1'
_space_group_IT_number 1
_cell_length_a 3.857
_cell_length_b 3.857
_cell_length_c 7.120
_cell_angle_alpha 74.28
_cell_angle_beta 74.28
_cell_angle_gamma 60.00
loop_
_space_group_symop_operation_xyz
'x,y,z'
loop_
_atom_site_label
_atom_site_fract_x
_atom_site_fract_y
_atom_site_fract_z
Er1 0.077 0.077 0.769
Er2 0.256 0.256 0.231
P1 0.668 0.668 0.996
S1 0.498 0.498 0.505
```

## Properties
- E: -0.236 hartree per atom
- Formation energy without anion corrections: -7.02 eV per formula unit
- Theoretical density: 7.58 g/cm3
- Energy above the lowest structure with this stoichiometry: 103 meV/atom
- Total magnetic moment: 0.00 Bohr magnetons per cell